Record 1
A plane-wave DFT calculation with GGA-PBE was carried out for a relaxed structure of Sm2ErBi3.

The value obtained for the calculated formation energy is -886 meV per atom. As for the magnetization: 0.00 μB per formula unit. Its crystal system is orthorhombic.

a b c (Å): 15.0011 14.3024 7.8323
angles (deg): 79.49 69.62 30.89
Fractional positions:
Sm (0.0425, 0.0425, 0.2075)
Sm (0.1240, 0.1240, 0.6260)
Sm (0.2075, 0.2075, 0.0425)
Sm (0.3740, 0.3740, 0.8760)
Sm (0.6260, 0.6260, 0.1240)
Sm (0.7925, 0.7925, 0.9575)
Sm (0.8760, 0.8760, 0.3740)
Sm (0.9575, 0.9575, 0.7925)
Er (0.2915, 0.2915, 0.4585)
Er (0.4585, 0.4585, 0.2915)
Er (0.5415, 0.5415, 0.7085)
Er (0.7085, 0.7085, 0.5415)
Bi (0.0402, 0.5411, 0.2151)
Bi (0.1311, 0.6189, 0.6189)
Bi (0.2151, 0.7036, 0.0402)
Bi (0.2964, 0.7849, 0.4589)
Bi (0.3811, 0.8689, 0.8689)
Bi (0.4589, 0.9598, 0.2964)
Bi (0.5411, 0.0402, 0.7036)
Bi (0.6189, 0.1311, 0.1311)
Bi (0.7036, 0.2151, 0.5411)
Bi (0.7849, 0.2964, 0.9598)
Bi (0.8689, 0.3811, 0.3811)
Bi (0.9598, 0.4589, 0.7849)

Record 2
A plane-wave DFT calculation with GGA-PBE was carried out for a relaxed structure of BaPr2Mg2In2.

The value obtained for the calculated formation energy is -259 meV per atom. As for the magnetization: 0.00 μB per formula unit. Its crystal system is trigonal.

a b c (Å): 10.5256 10.5256 10.5256
angles (deg): 28.28 28.28 28.28
Fractional positions:
Ba (0.0000, 0.0000, 0.0000)
Pr (0.1323, 0.1323, 0.1323)
Pr (0.8677, 0.8677, 0.8677)
Mg (0.4192, 0.4192, 0.4192)
Mg (0.5808, 0.5808, 0.5808)
In (0.2509, 0.2509, 0.2509)
In (0.7491, 0.7491, 0.7491)

Q: Number 1 is which compound?
A: Sm2ErBi3

Q: Which value of calculated formation energy does entry 2 give?
A: -259 meV per atom